LaPm3Ru PBE optimized geometry; energy of formation from the pure elements = -5.9 meV per atom; E = -28.484 eV for the cell shown; distance to the lowest polymorph of the same formula = 0.1710 eV per atom
1.0
5.540 0.000 0.000
0.000 5.540 0.000
0.000 0.000 5.540
La Pm Ru
1 3 1
Cartesian
2.770 2.770 2.770 La
2.770 0.000 0.000 Pm
0.000 2.770 0.000 Pm
0.000 0.000 2.770 Pm
0.000 0.000 0.000 Ru